# Hf3NiBi

Hf3NiBi after structural relaxation (PBE-GGA, Alexandria via LeMat-Bulk).

For the total energy, the calculation gives -6.18 eV per atom. The energy of formation from the pure elements comes out at 1.73 eV/atom. The calculation puts the density of states at the Fermi level at 5.47 states/eV per cell.

Lattice parameters (Å, degrees): 5.290 5.290 5.290 90.00 90.00 90.00
Space group Pm-3m (No. 221)
One atom of each set of equivalent atoms:
Hf (0.000, 0.000, 0.500)
Ni (0.500, 0.500, 0.500)
Bi (0.000, 0.000, 0.000)